## TlAs4Ru (GGA-PBE)

Data for crystalline TlAs4Ru at its relaxed geometry.

Its space-group type is F-43m, No. 216. The formation energy comes out at 708 meV per atom.

a b c (Å): 5.6101 5.6101 5.6101
angles (deg): 60.00 60.00 60.00
Last column: nearest neighbours and their distance in Å.
Atoms (fractional coordinates):
As (0.3754, 0.8738, 0.3754)  6 As 2.80-2.81
Ru (0.7500, 0.7500, 0.7500)  12 As 3.29, 4 Tl 3.44
As (0.3754, 0.3754, 0.8738)  6 As 2.80-2.81
As (0.8738, 0.3754, 0.3754)  6 As 2.80-2.81
Tl (0.0000, 0.0000, 0.0000)  12 As 3.29, 4 Ru 3.44
As (0.3754, 0.3754, 0.3754)  6 As 2.80-2.81

***

## Tl2AsRu (GGA-PBE)

Data for crystalline Tl2AsRu at its relaxed geometry.

Its space-group type is I4/mmm, No. 139. The formation energy comes out at 683 meV per atom.

a b c (Å): 5.2436 5.2436 5.2436
angles (deg): 129.91 129.91 73.55
Last column: nearest neighbours and their distance in Å.
Atoms (fractional coordinates):
Tl (0.0000, 0.0000, 0.0000)  4 Ru 3.06, 4 As 3.06, 4 Tl 3.14
Ru (0.7500, 0.2500, 0.5000)  8 Tl 3.06, 4 As 3.14
Tl (0.5000, 0.5000, 0.0000)  4 As 3.06, 4 Ru 3.06, 4 Tl 3.14
As (0.2500, 0.7500, 0.5000)  8 Tl 3.06, 4 Ru 3.14

***

## Tl2AsRu (GGA-PBE)

Data for crystalline Tl2AsRu at its relaxed geometry.

Its space-group type is I-42d, No. 122. The formation energy comes out at 264 meV per atom.

a b c (Å): 10.1986 10.1986 7.5753
angles (deg): 47.69 47.69 90.00
Last column: nearest neighbours and their distance in Å.
Atoms (fractional coordinates):
As (0.5000, 0.5000, 0.0000)  2 Ru 2.32
As (0.2500, 0.7500, 0.5000)  2 Ru 2.32
Tl (0.7853, 0.1250, 0.2500)  2 Ru 2.77
Ru (0.0000, 0.0000, 0.0000)  2 As 2.32
Tl (0.9647, 0.6250, 0.2500)  2 Ru 2.77
Tl (0.8750, 0.0353, 0.7500)  2 Ru 2.77
Tl (0.3750, 0.2147, 0.7500)  2 Ru 2.77
Ru (0.7500, 0.2500, 0.5000)  2 As 2.32

***

## Tl2AsRu (GGA-PBE)

Data for crystalline Tl2AsRu at its relaxed geometry.

Its space-group type is Cmmm, No. 65. The formation energy comes out at 611 meV per atom.

a b c (Å): 3.1878 3.1878 8.4614
angles (deg): 90.00 90.00 89.86
Last column: nearest neighbours and their distance in Å.
Atoms (fractional coordinates):
Ru (0.5000, 0.5000, 0.7500)  8 Tl 2.88-2.89, 4 Ru 3.19
Tl (0.0000, 0.0000, 0.9625)  4 Ru 2.88-2.89, 4 Tl 3.19
Tl (0.0000, 0.0000, 0.5375)  4 Ru 2.88-2.89, 4 Tl 3.19
As (0.5000, 0.5000, 0.2500)  4 As 3.19, 8 Tl 3.31-3.32

***

## Tl2AsRu (GGA-PBE)

Data for crystalline Tl2AsRu at its relaxed geometry.

Its space-group type is Pmmm, No. 47. The formation energy comes out at 616 meV per atom.

a b c (Å): 3.6104 3.5628 6.4347
angles (deg): 90.00 90.00 90.00
Last column: nearest neighbours and their distance in Å.
Atoms (fractional coordinates):
Tl (0.0000, 0.0000, 0.9859)  4 Ru 2.96, 1 Tl 3.04, 4 As 3.05
Tl (0.0000, 0.0000, 0.5141)  4 Ru 2.96, 1 Tl 3.04, 4 As 3.05
Ru (0.5000, 0.5000, 0.7500)  8 Tl 2.96, 2 As 3.22
As (0.5000, 0.5000, 0.2500)  8 Tl 3.05, 2 Ru 3.22

***

## Tm2AsRu (GGA-PBE)

Data for crystalline Tm2AsRu at its relaxed geometry.

Its space-group type is P4/mmm, No. 123. The formation energy comes out at -765 meV per atom.

a b c (Å): 3.4906 3.4906 6.6959
angles (deg): 90.00 90.00 90.00
Last column: nearest neighbours and their distance in Å.
Atoms (fractional coordinates):
Ru (0.5000, 0.5000, 0.0000)  8 Tm 2.96
Tm (0.0000, 0.0000, 0.7572)  4 Ru 2.96, 4 As 3.01, 1 Tm 3.25
As (0.5000, 0.5000, 0.5000)  8 Tm 3.01, 2 Ru 3.35
Tm (0.0000, 0.0000, 0.2428)  4 Ru 2.96, 4 As 3.01, 1 Tm 3.25

***

## TmAs12Ru4 (GGA-PBE)

Data for crystalline TmAs12Ru4 at its relaxed geometry.

Its space-group type is Im-3, No. 204. The formation energy comes out at -406 meV per atom.

a b c (Å): 7.4291 7.4291 7.4291
angles (deg): 109.47 109.47 109.47
Last column: nearest neighbours and their distance in Å.
Atoms (fractional coordinates):
As (0.8510, 0.5030, 0.6520)  2 Ru 2.46, 2 As 2.56-2.61
As (0.5030, 0.6520, 0.8510)  2 Ru 2.46, 2 As 2.56-2.61
As (0.8010, 0.6520, 0.1490)  2 Ru 2.46, 2 As 2.56-2.61
Ru (0.5000, 0.5000, 0.5000)  6 As 2.46
Tm (0.0000, 0.0000, 0.0000)  12 As 3.25
As (0.1490, 0.4970, 0.3480)  2 Ru 2.46, 2 As 2.56-2.61
Ru (0.0000, 0.5000, 0.0000)  6 As 2.46
As (0.1990, 0.3480, 0.8510)  2 Ru 2.46, 2 As 2.56-2.61
Ru (0.5000, 0.0000, 0.0000)  6 As 2.46
As (0.3480, 0.1490, 0.4970)  2 Ru 2.46, 2 As 2.56-2.61
As (0.1490, 0.8010, 0.6520)  2 Ru 2.46, 2 As 2.56-2.61
As (0.3480, 0.8510, 0.1990)  2 Ru 2.46, 2 As 2.56-2.61
As (0.8510, 0.1990, 0.3480)  2 Ru 2.46, 2 As 2.56-2.61
As (0.4970, 0.3480, 0.1490)  2 Ru 2.46, 2 As 2.56-2.61
Ru (0.0000, 0.0000, 0.5000)  6 As 2.46
As (0.6520, 0.1490, 0.8010)  2 Ru 2.46, 2 As 2.56-2.61
As (0.6520, 0.8510, 0.5030)  2 Ru 2.46, 2 As 2.56-2.61

***

## TmAs3Ru5 (GGA-PBE)

Data for crystalline TmAs3Ru5 at its relaxed geometry.

Its space-group type is Cmcm, No. 63. The formation energy comes out at -183 meV per atom.

a b c (Å): 3.1030 6.7949 14.2811
angles (deg): 90.00 90.00 103.20
Last column: nearest neighbours and their distance in Å.
Atoms (fractional coordinates):
Ru (0.0000, 0.0000, 0.0000)  4 As 2.49, 4 Ru 2.72
Ru (0.1894, 0.3789, 0.9131)  4 As 2.36-2.60
As (0.3637, 0.7273, 0.9493)  6 Ru 2.36-2.60
Ru (0.0000, 0.0000, 0.5000)  4 As 2.49, 4 Ru 2.72
Ru (0.8106, 0.6211, 0.0869)  4 As 2.36-2.60
Ru (0.4882, 0.9763, 0.1561)  3 As 2.47-2.54, 3 Ru 2.68-2.72
Ru (0.1894, 0.3789, 0.5869)  4 As 2.36-2.60
Tm (0.8406, 0.6812, 0.7500)  4 Ru 3.06, 2 Tm 3.10, 6 As 3.25-3.26
Ru (0.5118, 0.0237, 0.8439)  3 As 2.47-2.54, 3 Ru 2.68-2.72
Ru (0.8106, 0.6211, 0.4131)  4 As 2.36-2.60
Tm (0.1594, 0.3188, 0.2500)  4 Ru 3.06, 2 Tm 3.10, 6 As 3.25-3.26
As (0.1248, 0.2496, 0.7500)  6 Ru 2.48-2.54
As (0.8752, 0.7504, 0.2500)  6 Ru 2.48-2.54
As (0.6363, 0.2727, 0.4493)  6 Ru 2.36-2.60
Ru (0.5118, 0.0237, 0.6561)  3 As 2.47-2.54, 3 Ru 2.68-2.72
As (0.6363, 0.2727, 0.0507)  6 Ru 2.36-2.60
As (0.3637, 0.7273, 0.5507)  6 Ru 2.36-2.60
Ru (0.4882, 0.9763, 0.3439)  3 As 2.47-2.54, 3 Ru 2.68-2.72

***

## UAsRu2 (GGA-PBE)

Data for crystalline UAsRu2 at its relaxed geometry.

Its space-group type is R-3m, No. 166. The formation energy comes out at -132 meV per atom.

a b c (Å): 4.6538 4.6538 4.5592
angles (deg): 59.31 59.31 60.00
Last column: nearest neighbours and their distance in Å.
Atoms (fractional coordinates):
U (0.5000, 0.5000, 0.5000)  8 Ru 2.77-2.99
As (0.0000, 0.0000, 0.0000)  2 Ru 2.53
Ru (0.7707, 0.7707, 0.6880)  1 As 2.53, 3 U 2.77
Ru (0.2293, 0.2293, 0.3120)  1 As 2.53, 3 U 2.77

***

## U2AsRu3 (GGA-PBE)

Data for crystalline U2AsRu3 at its relaxed geometry.

Its space-group type is R-3m, No. 166. The formation energy comes out at -429 meV per atom.

a b c (Å): 4.9836 4.9836 4.9836
angles (deg): 68.13 68.13 68.13
Last column: nearest neighbours and their distance in Å.
Atoms (fractional coordinates):
U (0.3816, 0.3816, 0.3816)  1 U 2.70, 3 Ru 2.93
U (0.6184, 0.6184, 0.6184)  1 U 2.70, 3 Ru 2.93
Ru (0.0000, 0.0000, 0.5000)  2 As 2.49
As (0.0000, 0.0000, 0.0000)  6 Ru 2.49
Ru (0.0000, 0.5000, 0.0000)  2 As 2.49
Ru (0.5000, 0.0000, 0.0000)  2 As 2.49

***

## UAsRu2 (GGA-PBE)

Data for crystalline UAsRu2 at its relaxed geometry.

Its space-group type is P2_1/m, No. 11. The formation energy comes out at -374 meV per atom.

a b c (Å): 4.9347 4.7409 5.9534
angles (deg): 90.00 100.04 90.00
Last column: nearest neighbours and their distance in Å.
Atoms (fractional coordinates):
As (0.2452, 0.7500, 0.7355)  5 Ru 2.58-2.72
U (0.8125, 0.2500, 0.7609)  3 Ru 2.49-2.60
As (0.7548, 0.2500, 0.2645)  5 Ru 2.58-2.72
Ru (0.7074, 0.7500, 0.5900)  2 As 2.58-2.64, 2 U 2.60
U (0.1875, 0.7500, 0.2391)  3 Ru 2.49-2.60
Ru (0.2926, 0.2500, 0.4100)  2 As 2.58-2.64, 2 U 2.60
Ru (0.3133, 0.2500, 0.9210)  1 U 2.49, 3 As 2.61-2.72
Ru (0.6867, 0.7500, 0.0790)  1 U 2.49, 3 As 2.61-2.72

***

## UAsRu (GGA-PBE)

Data for crystalline UAsRu at its relaxed geometry.

Its space-group type is P4/nmm, No. 129. The formation energy comes out at -180 meV per atom.

a b c (Å): 3.9689 3.9689 6.9365
angles (deg): 90.00 90.00 90.00
Last column: nearest neighbours and their distance in Å.
Atoms (fractional coordinates):
As (0.5000, 0.0000, 0.8356)  5 Ru 2.62-2.83
Ru (0.0000, 0.5000, 0.7872)  5 As 2.62-2.83, 4 U 2.81
As (0.0000, 0.5000, 0.1644)  5 Ru 2.62-2.83
U (0.0000, 0.0000, 0.5000)  4 U 2.81, 4 Ru 2.81, 4 As 3.06
Ru (0.5000, 0.0000, 0.2128)  5 As 2.62-2.83, 4 U 2.81
U (0.5000, 0.5000, 0.5000)  4 U 2.81, 4 Ru 2.81, 4 As 3.06

***

We obtain total moment values of 2.35; 0.00; 0.00; 0.00; 0.00; 0.00; 0.00; 0.00; 1.99; 2.06; 0.00; 0.00 μB per cell for the records listed above, in that order.